Arrangement one

Density functional theory data (meta-GGA SCAN) for a PBEsol-optimized structure of LiRe2Tc.

Lattice parameters (Å, degrees): 2.677 3.956 5.169 90.00 90.00 90.00
Atoms (fractional coordinates):
Li 0.000 0.000 0.000
Re 0.500 0.500 0.242
Re 0.500 0.500 0.758
Tc 0.000 0.000 0.500

Calculated values
DOS(E_F) (states/eV/cell): 2.70
Total moment (μB per cell): 0.000
Crystal system: orthorhombic
Density (Mg/m³): 14.48


Arrangement two

Density functional theory data (meta-GGA SCAN) for a PBEsol-optimized structure of LiRe2Tc.

Lattice parameters (Å, degrees): 2.593 4.255 5.069 90.00 99.28 90.00
Atoms (fractional coordinates):
Li 0.000 0.000 0.000
Re 0.493 0.000 0.501
Re 0.728 0.500 0.244
Tc 0.269 0.500 0.768

Calculated values
DOS(E_F) (states/eV/cell): 2.53
Total moment (μB per cell): 0.000
Crystal system: monoclinic
Density (Mg/m³): 14.36


Arrangement three

Density functional theory data (meta-GGA SCAN) for a PBEsol-optimized structure of LiRe2Tc.

Lattice parameters (Å, degrees): 4.256 4.256 4.256 60.00 60.00 60.00
Atoms (fractional coordinates):
Li 0.000 0.000 0.000
Re 0.500 0.500 0.500
Re 0.750 0.750 0.750
Tc 0.250 0.250 0.250

Calculated values
DOS(E_F) (states/eV/cell): 3.25
Total moment (μB per cell): 0.000
Crystal system: cubic
Density (Mg/m³): 14.54


Least stable: arrangement one